Record 1
First-principles (PBE-GGA) data for a relaxed MgVB3 crystal, as listed in Alexandria. Values from VASP.

Values from the calculation:
- uncorrected energy (eV/atom) = -5.307
- ΔE_f (meV/atom) = 842

The structure in Quantum ESPRESSO input format:
```
&SYSTEM
  ibrav = 0, nat = 5, ntyp = 3
/
ATOMIC_SPECIES
V 50.94 V.upf
B 10.81 B.upf
Mg 24.30 Mg.upf
CELL_PARAMETERS angstrom
3.965 0.000 0.000
0.000 3.965 0.000
0.000 0.000 3.965
ATOMIC_POSITIONS crystal
V 0.000 0.000 0.000
B 0.000 0.000 0.500
B 0.500 0.000 0.000
B 0.000 0.500 0.000
Mg 0.500 0.500 0.500
```

Record 2
First-principles (PBE-GGA) data for a relaxed Sr2LaMo crystal, as listed in Alexandria. Values from VASP.

Values from the calculation:
- E above lowest polymorph (eV per atom) = 0.048
- uncorrected energy (eV/atom) = -4.212
- ΔE_f (meV/atom) = 569

The structure in Quantum ESPRESSO input format:
```
&SYSTEM
  ibrav = 0, nat = 4, ntyp = 3
/
ATOMIC_SPECIES
Sr 87.62 Sr.upf
La 138.91 La.upf
Mo 95.94 Mo.upf
CELL_PARAMETERS angstrom
9.764 -0.011 -0.006
9.125 3.475 -0.006
1.089 0.200 4.475
ATOMIC_POSITIONS crystal
Sr 0.589 0.589 0.410
Sr 0.911 0.911 0.090
La 0.750 0.750 0.750
Mo 0.250 0.250 0.250
```